# Sc2VGaO6 (GGA+U, relaxed)
# total magnetic moment = 2.00 μB/f.u.
# E = -7.997 eV/atom
# V = 11.14 Å³/atom
data_Sc2VGaO6
_chemical_formula_sum 'Sc2 V1 Ga1 O6'
_symmetry_space_group_name_H-M 'P 1'
_symmetry_Int_Tables_number 1
_cell_length_a 5.574
_cell_length_b 5.574
_cell_length_c 5.574
_cell_angle_alpha 56.10
_cell_angle_beta 56.10
_cell_angle_gamma 56.10
loop_
_symmetry_equiv_pos_as_xyz
'x,y,z'
loop_
_atom_site_label
_atom_site_type_symbol
_atom_site_fract_x
_atom_site_fract_y
_atom_site_fract_z
_atom_site_occupancy
Sc1 Sc 0.000 0.000 0.000 1
Sc2 Sc 0.496 0.496 0.496 1
V1 V 0.789 0.789 0.789 1
Ga1 Ga 0.285 0.285 0.285 1
O1 O 0.080 0.677 0.406 1
O2 O 0.179 0.576 0.910 1
O3 O 0.406 0.080 0.677 1
O4 O 0.576 0.910 0.179 1
O5 O 0.677 0.406 0.080 1
O6 O 0.910 0.179 0.576 1